[1]
RbSb3Pd after structural relaxation, computed with PBEsol.

Summary:
raw formation energy = 1.882 eV per atom
Fermi-level density of states = 8.5 states/eV per cell
space group = Pm-3m, No. 221

a = 5.7306 Å, b = 5.7306 Å, c = 5.7306 Å
α = 90.00°, β = 90.00°, γ = 90.00°
Closest atoms and distances in Å follow each position.
Fractional coordinates of all 5 atoms:
Sb1 0.0000 0.5000 0.0000  2 Rb 2.87
Sb2 0.0000 0.0000 0.5000  2 Rb 2.87
Sb3 0.5000 0.0000 0.0000  2 Rb 2.87
Rb1 0.0000 0.0000 0.0000  6 Sb 2.87
Pd1 0.5000 0.5000 0.5000  12 Sb 4.05



[2]
Fe2P after structural relaxation, computed with PBEsol.

Summary:
E_form = -0.546 eV per atom
Fermi-level density of states = 14.6 states/eV per cell
space group = Imm2, No. 44

a = 5.9666 Å, b = 6.6245 Å, c = 6.4139 Å
α = 61.05°, β = 90.00°, γ = 116.77°
Closest atoms and distances in Å follow each position.
Fractional coordinates of all 18 atoms:
Fe1 0.0119 0.7419 0.8450  4 P 2.18-2.32
Fe2 0.2700 0.2581 0.1550  4 P 2.18-2.32
Fe3 0.2700 0.2581 0.5869  4 P 2.18-2.32
Fe4 0.0119 0.7419 0.4131  4 P 2.18-2.32
Fe5 0.7473 0.0000 0.2144  4 P 2.18-2.19
Fe6 0.7473 0.0000 0.7856  4 P 2.18-2.19
Fe7 0.9813 0.4036 0.2982  5 P 2.24-2.40
Fe8 0.5777 0.5964 0.7018  5 P 2.24-2.40
Fe9 0.0643 0.4167 0.7917  5 P 2.32-2.57, 4 Fe 2.48-2.57
Fe10 0.6476 0.5833 0.2083  5 P 2.32-2.57, 4 Fe 2.48-2.57
Fe11 0.4339 0.0000 0.5000  4 P 2.44, 6 Fe 2.57-2.62
Fe12 0.3849 0.0000 0.0000  5 P 2.10-2.34
P1 0.3432 0.6675 0.9367  8 Fe 2.18-2.44
P2 0.6758 0.3325 0.0633  8 Fe 2.18-2.44
P3 0.6758 0.3325 0.6041  8 Fe 2.18-2.44
P4 0.3432 0.6675 0.3959  8 Fe 2.18-2.44
P5 0.9470 0.0000 0.5000  8 Fe 2.19-2.24
P6 0.0329 0.0000 0.0000  9 Fe 2.10-2.32



[3]
RbZn2P2HO8 after structural relaxation, computed with PBEsol.

Summary:
Fermi-level density of states = 0.0 states/eV per cell
calculated total energy = -6.35 eV per atom
space group = P-1, No. 2

a = 5.2413 Å, b = 8.8470 Å, c = 9.7383 Å
α = 75.19°, β = 77.66°, γ = 73.46°
Closest atoms and distances in Å follow each position.
Fractional coordinates of all 28 atoms:
Rb1 0.7077 0.7042 0.8228  6 O 2.82-3.05
Rb2 0.2923 0.2958 0.1772  6 O 2.82-3.05
Zn1 0.8072 0.8875 0.3892  4 O 1.91-2.01
Zn2 0.1928 0.1125 0.6108  4 O 1.91-2.01
Zn3 0.6111 0.6189 0.2698  4 O 1.90-1.97
Zn4 0.3889 0.3811 0.7302  4 O 1.90-1.97
P1 0.1065 0.7555 0.1100  4 O 1.53-1.58
P2 0.8935 0.2445 0.8900  4 O 1.53-1.58
P3 0.6691 0.2452 0.4502  4 O 1.53-1.59
P4 0.3309 0.7548 0.5498  4 O 1.53-1.59
H1 0.0517 0.9318 0.8972  1 O 1.04
H2 0.9483 0.0682 0.1028  1 O 1.04
O1 0.9680 0.9006 0.1846  1 H 1.48, 1 P 1.56
O2 0.0320 0.0994 0.8154  1 H 1.48, 1 P 1.56
O3 0.0584 0.8119 0.9480  1 H 1.04
O4 0.9416 0.1881 0.0520  1 H 1.04
O5 0.6435 0.1118 0.3821  1 P 1.54
O6 0.3565 0.8882 0.6179  1 P 1.54
O7 0.9573 0.2279 0.4736  1 P 1.53
O8 0.0427 0.7721 0.5264  1 P 1.53
O9 0.5886 0.2950 0.8909  1 P 1.53
O10 0.4114 0.7050 0.1091  1 P 1.53
O11 0.4347 0.5934 0.6487  1 P 1.53
O12 0.5653 0.4066 0.3513  1 P 1.53
O13 0.4737 0.2312 0.5992  1 P 1.59
O14 0.5263 0.7688 0.4008  1 P 1.59
O15 0.0200 0.3874 0.8221  1 P 1.53
O16 0.9800 0.6126 0.1779  1 P 1.53